(1)
A plane-wave DFT calculation with PBE was carried out for TlIrOs2 after structural relaxation.

```
4
Lattice="1.3900 -2.4399 0.0000 1.3900 2.4399 0.0000 0.0000 0.0000 10.0170" Properties=species:S:1:pos:R:3 pbc="T T T"
Tl 0.0000 0.0000 0.0000
Ir 0.0000 0.0000 5.0085
Os 1.3900 0.0000 2.7352
Os 1.3900 0.0000 7.2818
```

Properties
As for the crystal system: orthorhombic. The value obtained for the spin magnetization is 0.0 μB per cell. The energy above the lowest structure with this stoichiometry is 487 meV/atom. The value obtained for the energy relative to the elements is 3.94 eV/f.u. The calculation puts the raw total energy at -29.75 eV for the cell shown.

=====

(2)
A plane-wave DFT calculation with PBE was carried out for TlIrOs2 after structural relaxation.

```
8
Lattice="-3.1206 3.1206 5.0314 3.1206 -3.1206 5.0314 3.1206 3.1206 -5.0314" Properties=species:S:1:pos:R:3 pbc="T T T"
Tl 0.0000 0.0000 0.0000
Tl 0.0000 3.1206 2.5157
Ir 3.1206 0.0000 2.5157
Ir 0.0000 0.0000 5.0314
Os 1.5603 -1.2664 3.7736
Os 1.8542 1.5603 1.2579
Os 1.5603 4.3869 -1.2579
Os 1.2664 1.5603 6.2893
```

Properties
As for the crystal system: tetragonal. The value obtained for the spin magnetization is 0.0 μB per cell. The energy above the lowest structure with this stoichiometry is 1125 meV/atom. The value obtained for the energy relative to the elements is 6.49 eV/f.u. The calculation puts the raw total energy at -54.39 eV for the cell shown.

=====

(3)
A plane-wave DFT calculation with PBE was carried out for TlIrOs4 after structural relaxation.

```
6
Lattice="0.0000 3.6805 3.6805 3.6805 0.0000 3.6805 3.6805 3.6805 0.0000" Properties=species:S:1:pos:R:3 pbc="T T T"
Tl 0.0000 0.0000 0.0000
Ir 5.5207 5.5207 5.5207
Os 2.7695 2.7695 2.7695
Os 4.5915 4.5915 2.7695
Os 4.5915 2.7695 4.5915
Os 2.7695 4.5915 4.5915
```

Properties
As for the crystal system: cubic. The value obtained for the spin magnetization is 0.0 μB per cell. The value obtained for the energy relative to the elements is 6.59 eV/f.u. The calculation puts the raw total energy at -49.56 eV for the cell shown.

=====

(4)
A plane-wave DFT calculation with PBE was carried out for TlIrOs2 after structural relaxation.

```
4
Lattice="4.7135 0.0000 0.0000 0.0000 4.7135 0.0000 0.0000 0.0000 2.9376" Properties=species:S:1:pos:R:3 pbc="T T T"
Tl 0.0000 0.0000 0.0000
Ir 2.3568 2.3568 0.0000
Os 0.0000 2.3568 1.4688
Os 2.3568 0.0000 1.4688
```

Properties
As for the crystal system: tetragonal. The value obtained for the spin magnetization is 0.0 μB per cell. The energy above the lowest structure with this stoichiometry is 547 meV/atom. The value obtained for the energy relative to the elements is 4.18 eV/f.u. The calculation puts the raw total energy at -29.51 eV for the cell shown.

=====

(5)
A plane-wave DFT calculation with PBE was carried out for TlIrOs2 after structural relaxation.

```
4
Lattice="2.7882 -4.0845 0.0000 2.7882 4.0845 0.0000 0.0000 0.0000 2.8382" Properties=species:S:1:pos:R:3 pbc="T T T"
Tl 0.0000 0.0000 0.0000
Ir 2.7882 0.0000 0.0000
Os 1.3941 2.0423 1.4191
Os 1.3941 -2.0423 1.4191
```

Properties
As for the crystal system: orthorhombic. The value obtained for the spin magnetization is 0.0 μB per cell. The energy above the lowest structure with this stoichiometry is 417 meV/atom. The value obtained for the energy relative to the elements is 3.66 eV/f.u. The calculation puts the raw total energy at -30.02 eV for the cell shown.

=====

(6)
A plane-wave DFT calculation with PBE was carried out for TlIrOs2 after structural relaxation.

```
4
Lattice="2.8540 0.0000 0.0000 0.0000 2.8540 0.0000 0.0000 0.0000 8.0296" Properties=species:S:1:pos:R:3 pbc="T T T"
Tl 0.0000 0.0000 0.0000
Ir 1.4270 1.4270 2.2186
Os 0.0000 0.0000 4.0778
Os 1.4270 1.4270 5.7735
```

Properties
As for the crystal system: tetragonal. The value obtained for the spin magnetization is 0.0 μB per cell. The energy above the lowest structure with this stoichiometry is 0 meV/atom. The value obtained for the energy relative to the elements is 1.99 eV/f.u. The calculation puts the raw total energy at -31.69 eV for the cell shown.

=====

(7)
A plane-wave DFT calculation with PBE was carried out for TlIrOs2 after structural relaxation.

```
4
Lattice="4.6245 -1.4248 0.0000 4.6245 1.4248 0.0000 -0.7938 0.0000 4.9529" Properties=species:S:1:pos:R:3 pbc="T T T"
Tl 0.0000 0.0000 0.0000
Ir 1.6392 0.0000 3.6984
Os 4.2291 0.0000 2.4347
Os 6.8002 0.0000 1.5098
```

Properties
As for the crystal system: monoclinic. The value obtained for the spin magnetization is 0.0 μB per cell. The energy above the lowest structure with this stoichiometry is 197 meV/atom. The value obtained for the energy relative to the elements is 2.78 eV/f.u. The calculation puts the raw total energy at -30.91 eV for the cell shown.

=====

(8)
A plane-wave DFT calculation with PBE was carried out for TlIrOs2 after structural relaxation.

```
4
Lattice="1.4283 0.8246 9.2953 -1.4283 0.8246 9.2953 0.0000 -1.6492 9.2953" Properties=species:S:1:pos:R:3 pbc="T T T"
Tl 0.0000 0.0000 0.0000
Ir 0.0000 0.0000 21.0941
Os 0.0000 0.0000 6.7300
Os 0.0000 0.0000 13.9519
```

Properties
As for the crystal system: trigonal. The value obtained for the spin magnetization is 0.0 μB per cell. The energy above the lowest structure with this stoichiometry is 117 meV/atom. The value obtained for the energy relative to the elements is 2.46 eV/f.u. The calculation puts the raw total energy at -31.23 eV for the cell shown.